A plane-wave DFT calculation with PBE-GGA was carried out for a relaxed structure of MnTe2IrI.

Summary:
ρ	8.55	g/cm3
energy above the most stable polymorph in this dataset	0.0	meV/atom
Fermi-level density of states	1.18	states/eV per atom

Lattice parameters (Å, degrees): 4.817 4.817 5.269 90.00 90.00 90.00
Space group P4/mmm (No. 123)
Asymmetric unit:
Mn  0.000  0.000  0.000
Te  0.000  0.500  0.000
Ir  0.500  0.500  0.500
I  0.000  0.000  0.500

***

A plane-wave DFT calculation with PBE-GGA was carried out for a relaxed structure of MnTeIrI2.

Summary:
ρ	7.20	g/cm3
energy above the most stable polymorph in this dataset	554.9	meV/atom
Fermi-level density of states	2.59	states/eV per atom

Lattice parameters (Å, degrees): 5.204 5.204 5.352 90.00 90.00 90.00
Space group P4/mmm (No. 123)
Asymmetric unit:
Mn  0.000  0.000  0.000
Te  0.000  0.000  0.500
Ir  0.500  0.500  0.500
I  0.000  0.500  0.000

***

A plane-wave DFT calculation with PBE-GGA was carried out for a relaxed structure of MnTeIrI2.

Summary:
ρ	6.65	g/cm3
energy above the most stable polymorph in this dataset	0.0	meV/atom
Fermi-level density of states	0.65	states/eV per atom

Lattice parameters (Å, degrees): 5.494 5.494 5.199 90.00 90.00 90.00
Space group P4/mmm (No. 123)
Asymmetric unit:
Mn  0.000  0.000  0.000
Te  0.500  0.500  0.000
Ir  0.500  0.500  0.500
I  0.000  0.500  0.500

***

A plane-wave DFT calculation with PBE-GGA was carried out for a relaxed structure of Mo2IrI.

Summary:
ρ	8.39	g/cm3
energy above the most stable polymorph in this dataset	337.9	meV/atom
Fermi-level density of states	0.41	states/eV per atom

Lattice parameters (Å, degrees): 5.861 5.861 11.776 90.00 90.00 90.00
Space group I-42d (No. 122)
Asymmetric unit:
Mo  0.210  0.250  0.125
Ir  0.000  0.000  0.000
I  0.000  0.000  0.500

***

A plane-wave DFT calculation with PBE-GGA was carried out for a relaxed structure of MoIrI2.

Summary:
ρ	8.19	g/cm3
energy above the most stable polymorph in this dataset	0.0	meV/atom
Fermi-level density of states	1.40	states/eV per atom

Lattice parameters (Å, degrees): 6.065 6.065 11.954 90.00 90.00 90.00
Space group I-42d (No. 122)
Asymmetric unit:
Mo  0.000  0.000  0.000
Ir  0.000  0.000  0.500
I  0.245  0.250  0.625

***

A plane-wave DFT calculation with PBE-GGA was carried out for a relaxed structure of MoIr3I.

Summary:
ρ	11.85	g/cm3
energy above the most stable polymorph in this dataset	602.8	meV/atom
Fermi-level density of states	1.89	states/eV per atom

Lattice parameters (Å, degrees): 4.821 4.821 4.821 90.00 90.00 90.00
Space group Pm-3m (No. 221)
Asymmetric unit:
Mo  0.000  0.000  0.000
Ir  0.000  0.500  0.500
I  0.500  0.500  0.500

***

A plane-wave DFT calculation with PBE-GGA was carried out for a relaxed structure of MoIr3I.

Summary:
ρ	12.05	g/cm3
energy above the most stable polymorph in this dataset	0.0	meV/atom
Fermi-level density of states	1.41	states/eV per atom

Lattice parameters (Å, degrees): 4.794 4.794 4.794 90.00 90.00 90.00
Space group Pm-3m (No. 221)
Asymmetric unit:
Mo  0.000  0.000  0.000
Ir  0.000  0.000  0.500
I  0.500  0.500  0.500

***

A plane-wave DFT calculation with PBE-GGA was carried out for a relaxed structure of Mo2IrI.

Summary:
ρ	12.56	g/cm3
energy above the most stable polymorph in this dataset	0.0	meV/atom
Fermi-level density of states	1.18	states/eV per atom

Lattice parameters (Å, degrees): 6.466 6.466 6.466 90.00 90.00 90.00
Space group Fm-3m (No. 225)
Asymmetric unit:
Mo  0.250  0.250  0.250
Ir  0.000  0.000  0.000
I  0.000  0.000  0.500

***

In eV per formula unit, the ΔE_f (raw) values for the records above are, in order, 6.05; 6.11; 3.33; 4.28; 4.57; 11.62; 8.60; 2.92.